MgPa2In9, optimized geometry, DFT PBE; formation energy = -0.072 eV per atom; total DFT energy (no corrections) = -3.841 eV/atom; space-group type = P4/mmm, No. 123
1.0
4.6316 0.0000 0.0000
0.0000 4.6316 0.0000
0.0000 0.0000 13.9462
Mg Pa In
1 2 9
direct
0.0000 0.0000 0.0000
0.0000 0.0000 0.3338
0.0000 0.0000 0.6662
0.0000 0.5000 0.1627
0.0000 0.5000 0.5000
0.0000 0.5000 0.8373
0.5000 0.0000 0.1627
0.5000 0.0000 0.5000
0.5000 0.0000 0.8373
0.5000 0.5000 0.0000
0.5000 0.5000 0.3354
0.5000 0.5000 0.6646